VASP calculation (PBE-GGA) on an optimized crystal structure of AcPaZnGa.

Properties
symmetry = F-43m
DOS at the Fermi energy = 7.0 states/eV/f.u.
ΔE_f = -0.03 eV/f.u.
uncorrected energy = -17.94 eV per cell

a = 5.2615 Å, b = 5.2615 Å, c = 5.2615 Å
α = 60.00°, β = 60.00°, γ = 60.00°
With the nearest neighbours (Å) after each atom.
Fractional coordinates of all 4 atoms:
Ac: 0.0000 0.0000 0.0000  4 Zn 3.22, 4 Ga 3.22
Pa: 0.5000 0.5000 0.5000  4 Ga 3.22, 4 Zn 3.22
Zn: 0.2500 0.2500 0.2500  4 Ac 3.22, 4 Pa 3.22
Ga: 0.7500 0.7500 0.7500  4 Pa 3.22, 4 Ac 3.22

***

VASP calculation (PBE-GGA) on an optimized crystal structure of LaHgBr.

Properties
symmetry = P2_1/m
DOS at the Fermi energy = 2.8 states/eV/f.u.
energy above the lowest structure with this stoichiometry = 155.2 meV/atom
uncorrected energy = -19.27 eV per cell
formation energy from raw total energies = -0.91 eV per atom

a = 6.1517 Å, b = 5.1130 Å, c = 6.6769 Å
α = 90.00°, β = 109.59°, γ = 90.00°
With the nearest neighbours (Å) after each atom.
Fractional coordinates of all 6 atoms:
La: 0.1765 0.2500 0.4126  4 Br 3.06-3.24, 3 Hg 3.20-3.36
La: 0.8235 0.7500 0.5874  4 Br 3.06-3.24, 3 Hg 3.20-3.36
Hg: 0.0185 0.2500 0.8795  2 Hg 3.07, 3 La 3.20-3.36
Hg: 0.9815 0.7500 0.1205  2 Hg 3.07, 3 La 3.20-3.36
Br: 0.3783 0.7500 0.6957  4 La 3.06-3.24
Br: 0.6217 0.2500 0.3043  4 La 3.06-3.24